No. 1
80
Lattice="-4.1315 10.8333 7.3169 -9.7305 -3.3850 -9.0457 2.3055 -10.5821 8.4065" Properties=species:S:1:pos:R:3 comment="Cs3Tl5F12, optimized geometry, DFT PBE-GGA" energy_ev_per_atom=-3.992 magnetic_moment_mub_per_fu=0.000 dos_at_fermi_per_ev_fu=0.00 pbc="T T T"
F -3.6552 3.9768 3.0776
F -4.0928 -0.1403 3.0926
F -8.4451 -3.5393 -1.3435
F -9.0895 -3.3512 -6.9186
F -1.1635 0.8265 5.7682
F -3.2062 3.3705 11.1092
F -4.3941 -8.9663 0.4159
F -5.8149 -6.7169 -0.9872
F -3.5141 -6.8889 5.6184
F -10.1414 -1.2521 -0.3747
F -10.8181 1.5774 3.4863
F -10.1458 -1.5429 6.0330
F -7.4637 -2.9936 3.5851
F 0.1882 -5.7490 6.1518
F -3.1114 0.4055 8.0211
F -0.7385 -4.7113 3.1913
F -4.4334 -6.2180 1.6377
F -7.1231 3.0841 5.0400
F -7.9014 -7.1107 3.6000
F -4.3711 -1.1699 -2.4206
F -5.9984 -5.2190 6.9372
F 0.8366 -8.9300 8.6287
F -5.5582 2.0852 -0.2596
F -6.0133 -0.6525 5.3501
F -1.4107 -1.5909 0.6446
F -2.2363 -10.1162 3.4675
F -9.2554 -7.7008 0.9798
F -7.1625 5.8324 6.2617
F -12.3931 5.7961 -1.9511
F -11.7447 2.6151 0.5259
F -7.1854 -1.9640 9.0983
F -6.9359 -1.0881 -3.9899
F -7.8108 -9.8896 2.4527
F -3.3942 -5.2424 8.4423
F -10.3931 -3.9603 0.9095
F -5.7417 3.5830 7.6649
F -2.3012 4.5670 5.6979
F -2.4671 0.2173 13.5962
F -1.4152 -1.8818 7.0524
F -4.2776 -2.8814 4.3171
F -8.1623 2.1085 -1.7646
F -3.7458 6.7558 4.2250
F -8.0425 3.7550 1.0592
F -4.6207 -2.0458 10.6676
F -5.5432 -2.4813 1.3275
F -8.3503 -6.5044 -4.4315
F -7.2789 -0.2525 2.3605
F -9.3203 6.9823 3.2101
Tl -2.0658 5.4166 3.6584
Tl -1.0365 -4.2973 7.9180
Tl -3.5890 -2.5608 -0.3759
Tl -3.2409 -5.1749 3.6911
Tl -2.2977 -1.5575 11.7126
Tl -7.8628 -5.0273 5.1444
Tl -6.9310 3.7241 -0.8644
Tl -3.6938 1.8935 1.5332
Tl -6.9498 -5.1529 -2.7172
Tl 1.1527 -5.2911 4.2032
Tl -0.9130 0.1256 7.8617
Tl -3.7125 -6.9836 -0.3196
Tl -9.2589 -1.5763 -5.0350
Tl 0.0000 0.0000 0.0000
Tl -4.8653 -1.6925 -4.5229
Tl -4.6068 2.0190 9.3949
Tl -10.5200 1.1634 -1.2403
Tl -7.9675 -0.5731 7.0536
Tl -5.7783 -1.5669 3.3388
Tl -8.3157 2.0410 2.9865
Cs -7.0545 -0.6987 -0.8081
Cs -5.0972 -8.6667 3.5313
Cs -7.4063 -5.0901 1.2136
Cs -1.3846 -1.6831 3.8509
Cs -4.1503 1.9562 5.4641
Cs -6.4594 5.5328 3.1463
Cs -10.6248 5.6176 0.6688
Cs -0.9318 -8.7515 6.0089
Cs -10.1719 -1.4508 2.8267
Cs -4.2550 6.4105 7.3732
Cs -7.3015 -9.5443 -0.6955
Cs -4.5020 -2.4352 7.4858



No. 2
8
Lattice="-3.0805 -5.1536 1.5893 5.0833 -3.3860 -1.1268 2.1535 -3.7953 4.0030" Properties=species:S:1:pos:R:3 comment="Mn2SiS, optimized geometry, DFT PBE-GGA" energy_ev_per_atom=-6.842 magnetic_moment_mub_per_fu=7.987 dos_at_fermi_per_ev_fu=0.43 pbc="T T T"
Si 1.0014 -4.2698 0.2313
Si 4.1192 -5.7255 1.5537
Mn -0.7769 -4.6355 1.8663
Mn 3.3558 -3.6668 0.4821
Mn 3.4096 -10.3465 3.3977
Mn 2.3243 -6.0209 3.1850
S 0.0000 0.0000 0.0000
S 0.0373 -6.6093 2.9118



No. 3
4
Lattice="-1.5226 4.0996 2.3003 -4.8308 0.9589 0.4007 -2.2252 -0.3177 4.4005" Properties=species:S:1:pos:R:3 comment="NaTmGaAu, optimized geometry, DFT PBE-GGA" energy_ev_per_atom=-3.429 magnetic_moment_mub_per_fu=0.000 e_form_mev_per_atom=-405 dos_at_fermi_per_ev_fu=2.01 pbc="T T T"
Tm -4.2893 2.3704 3.5508
Ga -2.1446 1.1852 1.7754
Na 0.0000 0.0000 0.0000
Au -6.4339 3.5556 5.3261